A geometry-optimized HfMgScTc structure, computed with PBE.

Properties
**E_form**: -23.6 kJ per mole of atoms
**Energy**: -7.31 eV per atom
**Fermi-level density of states**: 2.48 states/eV per cell
**E above lowest polymorph**: 0.00 eV/f.u.

a = 3.326 Å, b = 3.326 Å, c = 7.371 Å
α = 90.00°, β = 90.00°, γ = 90.00°
Space group P4mm (No. 99)
One atom of each set of equivalent atoms:
Hf: 0.000 0.000 0.000 (multiplicity 1)
Mg: 0.500 0.500 0.293 (multiplicity 1)
Sc: 0.000 0.000 0.589 (multiplicity 1)
Tc: 0.500 0.500 0.807 (multiplicity 1)